Record 1
VASP calculation (PBE-GGA) on a geometry-optimized RhCI2N structure.

a = 6.3045 Å, b = 6.3045 Å, c = 2.6719 Å
α = 90.00°, β = 90.00°, γ = 90.00°
Atoms (fractional coordinates):
1 Rh 0.0000 0.0000 0.0000
2 C 0.5000 0.5000 0.5000
3 I 0.0000 0.5000 0.5000
4 I 0.5000 0.0000 0.5000
5 N 0.5000 0.5000 0.0000

Calculated values
Mass density, Mg/m³: 5.984
Total energy, eV/atom: -4.25
Relative energy among the computed polymorphs, meV/atom: 0
Formation energy without anion corrections, eV per atom: 1.348
Symmetry: P4/mmm (123)

Record 2
VASP calculation (PBE-GGA) on a geometry-optimized LiTi3Au structure.

a = 4.9905 Å, b = 4.9905 Å, c = 4.9905 Å
α = 90.00°, β = 90.00°, γ = 90.00°
Atoms (fractional coordinates):
1 Li 0.0000 0.0000 0.0000
2 Ti 0.0000 0.5000 0.5000
3 Ti 0.5000 0.0000 0.5000
4 Ti 0.5000 0.5000 0.0000
5 Au 0.5000 0.5000 0.5000

Calculated values
Mass density, Mg/m³: 4.643
Total energy, eV/atom: -4.98
Relative energy among the computed polymorphs, meV/atom: 120
Formation enthalpy at 0 K, eV per atom: 0.800
Symmetry: Pm-3m (221)

Record 3
VASP calculation (PBE-GGA) on a geometry-optimized NdTm2PaN4 structure.

a = 6.0080 Å, b = 3.4944 Å, c = 6.0512 Å
α = 90.00°, β = 109.16°, γ = 90.00°
Atoms (fractional coordinates):
1 Nd 0.0000 0.0000 0.0000
2 Tm 0.5000 0.0000 0.5000
3 Tm 0.5000 0.5000 0.0000
4 Pa 0.0000 0.5000 0.5000
5 N 0.2540 0.0000 0.7386
6 N 0.2540 0.5000 0.2742
7 N 0.7460 0.0000 0.2614
8 N 0.7460 0.5000 0.7258

Calculated values
Mass density, Mg/m³: 10.643
Total energy, eV/atom: -8.71
Formation energy without anion corrections, eV per atom: -1.647
Symmetry: P2/m (10)

Question: Which value of mass density does entry 1 give?
Answer: 5.984 Mg/m³